## TmCr2CuO8 (PBE+U)

Data for an optimized crystal structure of TmCr2CuO8.

Geometry as POSCAR:
```
TmCr2CuO8
1.0
-3.466 3.466 3.141
3.466 -3.466 3.141
3.466 3.466 -3.141
Tm Cr Cu O
1 2 1 8
Cartesian
0.000 0.000 0.000
0.000 0.000 3.141
0.000 3.466 1.571
3.466 0.000 1.571
2.149 3.466 -1.065
1.316 0.000 2.077
0.000 2.136 0.579
3.466 2.149 1.065
0.000 4.796 0.579
0.000 1.316 4.206
-1.330 3.466 2.562
1.330 3.466 2.562
```

Values from the calculation:
total magnetization	0.01	μB per atom
calculated total energy	-6.850	eV/atom
crystal system	tetragonal
space-group type	I-4m2 (119)